Model a:
GGA+U CaLa4Ni3WO12, relaxed; space group = P2/m
1.0
9.307 0.000 0.000
0.000 5.500 -0.013
0.000 0.009 5.735
Ca Ni O La W
1 3 12 4 1
direct
0.500 0.500 0.000
0.000 0.000 0.000
0.500 0.000 0.000
0.500 0.500 0.500
0.742 0.000 0.000
0.000 0.253 0.757
0.500 0.768 0.280
0.500 0.231 0.280
0.258 0.000 0.000
0.500 0.232 0.720
0.775 0.500 0.500
0.000 0.714 0.798
0.225 0.500 0.500
0.000 0.286 0.202
0.500 0.769 0.720
0.000 0.747 0.243
0.689 0.000 0.500
0.311 0.000 0.500
0.823 0.500 0.000
0.177 0.500 0.000
0.000 0.500 0.500

Model b:
GGA+U CaLa4Ni3WO12, relaxed; space group = Pmmm
1.0
-5.539 -0.121 0.901
-0.091 -5.634 -1.315
1.434 -2.017 8.543
O Ni La W Ca
12 3 4 1 1
direct
0.000 0.000 0.245
0.231 0.724 0.500
0.769 0.724 0.500
0.723 0.781 0.000
0.277 0.781 0.000
0.000 0.000 0.755
0.277 0.219 0.000
0.500 0.500 0.776
0.723 0.219 0.000
0.231 0.276 0.500
0.500 0.500 0.224
0.769 0.276 0.500
0.000 0.000 0.500
0.000 0.000 0.000
0.500 0.500 0.500
0.500 0.000 0.792
0.000 0.500 0.671
0.500 0.000 0.208
0.000 0.500 0.329
0.500 0.500 0.000
0.000 0.500 0.000

Quick one: most stable of them? model a